YZrGe2: relaxed, PBE.

Computed properties:
Distance to the lowest polymorph of the same formula (eV/atom): 0.000
Space-group type: R-3m (166)
Energy of formation (eV/atom): -0.74

abc: 7.118 7.118 7.118
angles: 32.21 32.21 32.21
Positions (direct):
1 Y 0.000 0.000 0.000
2 Zr 0.500 0.500 0.500
3 Ge 0.244 0.244 0.244
4 Ge 0.756 0.756 0.756


LaBeI2N: relaxed, PBE.

Computed properties:
Distance to the lowest polymorph of the same formula (eV/atom): 0.501
Space-group type: P4/mmm (123)
Uncorrected formation energy (eV per atom): 0.28

abc: 6.476 6.476 4.144
angles: 90.00 90.00 90.00
Positions (direct):
1 La 0.000 0.000 0.000
2 Be 0.500 0.500 0.500
3 I 0.000 0.500 0.000
4 I 0.500 0.000 0.000
5 N 0.000 0.000 0.500


Li2BeIr: relaxed, PBE.

Computed properties:
Space-group type: P4mm (99)
Energy of formation (eV/atom): -0.23

abc: 2.972 2.972 6.568
angles: 90.00 90.00 90.00
Positions (direct):
1 Li 0.000 0.000 0.000
2 Li 0.500 0.500 0.351
3 Be 0.000 0.000 0.622
4 Ir 0.500 0.500 0.743


La2PrScSb4: relaxed, PBE.

Computed properties:
Space-group type: P2/m (10)
Uncorrected formation energy (eV per atom): -1.13

abc: 7.784 4.512 7.796
angles: 90.00 109.56 90.00
Positions (direct):
1 La 0.000 0.000 0.000
2 La 0.000 0.500 0.500
3 Pr 0.500 0.000 0.500
4 Sc 0.500 0.500 0.000
5 Sb 0.261 0.500 0.242
6 Sb 0.269 0.000 0.768
7 Sb 0.731 0.000 0.232
8 Sb 0.739 0.500 0.758


AcPrSmTm: relaxed, PBE.

Computed properties:
Distance to the lowest polymorph of the same formula (eV/atom): 0.000
Space-group type: P3m1 (156)
Energy of formation (eV/atom): 0.06

abc: 3.738 3.738 11.940
angles: 90.00 90.00 120.00
Positions (direct):
1 Ac 0.000 0.000 0.000
2 Pr 0.667 0.333 0.508
3 Sm 0.333 0.667 0.260
4 Tm 0.333 0.667 0.747


Li2AsW: relaxed, PBE.

Computed properties:
Space-group type: P2/m (10)
Energy of formation (eV/atom): 0.13

abc: 2.771 4.529 5.022
angles: 90.00 105.36 90.00
Positions (direct):
1 Li 0.098 0.000 0.246
2 Li 0.902 0.000 0.754
3 As 0.500 0.500 0.500
4 W 0.500 0.500 0.000


Tl2Ga3HgAu12: relaxed, PBE.

Computed properties:
Space-group type: R-3m (166)
Energy of formation (eV/atom): 0.07

abc: 7.926 7.926 7.926
angles: 67.30 67.30 67.30
Positions (direct):
1 Tl 0.098 0.098 0.098
2 Tl 0.902 0.902 0.902
3 Ga 0.000 0.500 0.500
4 Ga 0.500 0.000 0.500
5 Ga 0.500 0.500 0.000
6 Hg 0.500 0.500 0.500
7 Au 0.113 0.655 0.655
8 Au 0.132 0.132 0.594
9 Au 0.132 0.594 0.132
10 Au 0.345 0.345 0.887
11 Au 0.345 0.887 0.345
12 Au 0.406 0.868 0.868
13 Au 0.594 0.132 0.132
14 Au 0.655 0.113 0.655
15 Au 0.655 0.655 0.113
16 Au 0.868 0.406 0.868
17 Au 0.868 0.868 0.406
18 Au 0.887 0.345 0.345


SiIr2Br: relaxed, PBE.

Computed properties:
Distance to the lowest polymorph of the same formula (eV/atom): 0.282
Space-group type: Cmmm (65)
Uncorrected formation energy (eV per atom): 0.23

abc: 2.878 2.878 9.458
angles: 90.00 90.00 119.56
Positions (direct):
1 Si 0.000 0.000 0.000
2 Ir 0.500 0.500 0.193
3 Ir 0.500 0.500 0.807
4 Br 0.000 0.000 0.500


no.,Fermi-level density of states (states/eV per cell),total magnetic moment (μB/cell)
1,2.2,0.0
2,5.7,0.0
3,1.0,0.0
4,0.9,0.0
5,4.9,0.0
6,2.0,0.0
7,7.2,0.0
8,2.3,0.0